Dy7Sc | PBE-GGA | optimized geometry

Computed properties:
Formation energy from the elements in eV per atom: 0.032
Energy in eV for the cell shown: -38.3
D(E_F) in states/eV/f.u.: 11.93

Unit cell a=7.009 b=7.009 c=7.009 alpha=60.00 beta=60.00 gamma=60.00
Sites, in units of the cell vectors:
Dy  0.500  0.000  0.000
Dy  0.500  0.500  0.500
Dy  0.000  0.500  0.000
Dy  0.000  0.500  0.500
Dy  0.000  0.000  0.500
Dy  0.500  0.500  0.000
Dy  0.500  0.000  0.500
Sc  0.000  0.000  0.000